[1]
## CdI2ClO (meta-GGA SCAN)

Data for a PBEsol-optimized structure of CdI2ClO.

Unit cell a=4.0096 b=5.9127 c=5.9127 alpha=90.00 beta=90.00 gamma=90.00
With the nearest neighbours (Å) after each atom.
Positions (direct):
O1 0.5000 0.0000 0.0000  2 Cd 2.00
I1 0.0000 0.5000 0.0000  2 Cd 2.96
I2 0.0000 0.0000 0.5000  2 Cd 2.96
Cl1 0.5000 0.5000 0.5000  8 I 3.57
Cd1 0.0000 0.0000 0.0000  2 O 2.00

Values from the calculation:
* magnetic moment: 3.0 μB/f.u.
* raw total energy: -23.45 eV/atom


[2]
## CdP2ICl (meta-GGA SCAN)

Data for a PBEsol-optimized structure of CdP2ICl.

Unit cell a=5.0998 b=5.0998 c=5.2370 alpha=90.00 beta=90.00 gamma=90.00
With the nearest neighbours (Å) after each atom.
Positions (direct):
P1 0.0000 0.5000 0.0000  2 I 2.55
P2 0.5000 0.0000 0.0000  2 I 2.55
Cl1 0.0000 0.0000 0.5000  2 I 2.62
I1 0.0000 0.0000 0.0000  4 P 2.55, 2 Cl 2.62
Cd1 0.5000 0.5000 0.5000  4 Cl 3.61, 8 P 3.65

Values from the calculation:
* magnetic moment: 0.0 μB/f.u.
* raw total energy: -18.09 eV/atom


[3]
## CdIn2Cl (meta-GGA SCAN)

Data for a PBEsol-optimized structure of CdIn2Cl.

Unit cell a=3.2950 b=3.2950 c=8.8245 alpha=90.00 beta=90.00 gamma=90.00
With the nearest neighbours (Å) after each atom.
Positions (direct):
In1 0.5000 0.5000 0.2746  4 Cd 3.15, 8 In 3.30-3.42
In2 0.0000 0.0000 0.9910  8 In 3.30-3.42, 4 Cl 3.35
Cd1 0.0000 0.0000 0.5154  4 Cl 2.94, 4 In 3.15, 4 Cd 3.30
Cl1 0.5000 0.5000 0.7190  4 Cd 2.94, 4 Cl 3.30

Values from the calculation:
* magnetic moment: 0.0 μB/f.u.
* raw total energy: -26.54 eV/atom


[4]
## CdIn2Cl (meta-GGA SCAN)

Data for a PBEsol-optimized structure of CdIn2Cl.

Unit cell a=3.2512 b=5.4169 c=6.2799 alpha=115.55 beta=105.00 gamma=90.00
With the nearest neighbours (Å) after each atom.
Positions (direct):
Cl1 0.2409 0.7409 0.4819  2 Cd 3.04, 6 In 3.16-3.22, 2 Cl 3.25
In1 0.7588 0.2588 0.5177  2 Cd 3.12, 4 Cl 3.16, 4 In 3.25-3.28
In2 0.9965 0.9965 0.9930  4 Cd 3.16, 2 Cl 3.22, 4 In 3.25-3.28
Cd1 0.5038 0.5038 0.0075  2 Cl 3.04, 6 In 3.12-3.16, 2 Cd 3.25

Values from the calculation:
* magnetic moment: 0.0 μB/f.u.
* raw total energy: -26.56 eV/atom


[5]
## CdInCl3 (meta-GGA SCAN)

Data for a PBEsol-optimized structure of CdInCl3.

Unit cell a=5.1219 b=5.1219 c=5.1219 alpha=90.00 beta=90.00 gamma=90.00
With the nearest neighbours (Å) after each atom.
Positions (direct):
Cl1 0.0000 0.5000 0.0000  2 Cd 2.56
Cl2 0.5000 0.0000 0.0000  2 Cd 2.56
Cl3 0.0000 0.0000 0.5000  2 Cd 2.56
In1 0.5000 0.5000 0.5000  12 Cl 3.62
Cd1 0.0000 0.0000 0.0000  6 Cl 2.56

Values from the calculation:
* magnetic moment: 0.0 μB/f.u.
* raw total energy: -18.61 eV/atom


[6]
## CdInCl4 (meta-GGA SCAN)

Data for a PBEsol-optimized structure of CdInCl4.

Unit cell a=5.9070 b=5.9070 c=5.9070 alpha=60.00 beta=60.00 gamma=60.00
With the nearest neighbours (Å) after each atom.
Positions (direct):
Cl1 0.3741 0.8776 0.3741  6 Cl 2.93-2.97
Cl2 0.8776 0.3741 0.3741  6 Cl 2.93-2.97
Cl3 0.3741 0.3741 0.3741  6 Cl 2.93-2.97
Cl4 0.3741 0.3741 0.8776  6 Cl 2.93-2.97
Cd1 0.0000 0.0000 0.0000  12 Cl 3.46, 4 In 3.62
In1 0.7500 0.7500 0.7500  12 Cl 3.47, 4 Cd 3.62

Values from the calculation:
* magnetic moment: 3.0 μB/f.u.
* raw total energy: -15.89 eV/atom


[7]
## CdInCl2 (meta-GGA SCAN)

Data for a PBEsol-optimized structure of CdInCl2.

Unit cell a=3.5464 b=3.5464 c=8.7050 alpha=90.00 beta=90.00 gamma=113.61
With the nearest neighbours (Å) after each atom.
Positions (direct):
Cl1 0.5000 0.5000 0.7023  2 In 2.65
Cl2 0.0000 0.0000 0.0579  2 Cd 2.53
In1 0.0000 0.0000 0.4952  2 Cl 2.65, 2 Cd 2.92
Cd1 0.5000 0.5000 0.2446  2 Cl 2.53

Values from the calculation:
* magnetic moment: 0.0 μB/f.u.
* raw total energy: -20.60 eV/atom


[8]
## CdIn2Cl (meta-GGA SCAN)

Data for a PBEsol-optimized structure of CdIn2Cl.

Unit cell a=3.3037 b=5.1203 c=5.7941 alpha=90.00 beta=90.00 gamma=90.00
With the nearest neighbours (Å) after each atom.
Positions (direct):
In1 0.1265 0.8750 0.0000  2 Cl 2.90, 4 Cd 3.05
In2 0.6220 0.3748 0.5000  2 Cd 2.90, 4 Cl 3.04-3.05
Cd1 0.6260 0.3751 0.0000  6 In 2.90-3.05
Cl1 0.1256 0.8751 0.5000  6 In 2.90-3.05

Values from the calculation:
* magnetic moment: 0.0 μB/f.u.
* raw total energy: -26.66 eV/atom


[9]
## Cd2In2Cl (meta-GGA SCAN)

Data for a PBEsol-optimized structure of Cd2In2Cl.

Unit cell a=4.0767 b=4.0767 c=8.2593 alpha=104.29 beta=104.29 gamma=90.00
With the nearest neighbours (Å) after each atom.
Positions (direct):
In1 0.5941 0.5941 0.1881  1 In 2.91, 4 Cd 3.16, 4 Cl 3.23
In2 0.4059 0.4059 0.8119  1 In 2.91, 4 Cd 3.16, 4 Cl 3.23
Cl1 0.0000 0.0000 0.0000  8 In 3.23
Cd1 0.2500 0.7500 0.5000  4 Cd 2.88, 4 In 3.16
Cd2 0.7500 0.2500 0.5000  4 Cd 2.88, 4 In 3.16

Values from the calculation:
* magnetic moment: 0.0 μB/f.u.
* raw total energy: -27.25 eV/atom


[10]
## Cd2InCl (meta-GGA SCAN)

Data for a PBEsol-optimized structure of Cd2InCl.

Unit cell a=3.4165 b=4.9103 c=6.3807 alpha=112.13 beta=104.83 gamma=91.74
With the nearest neighbours (Å) after each atom.
Positions (direct):
Cd1 0.5000 0.5000 0.5000  4 Cd 2.95-3.03, 2 In 3.21, 2 Cl 3.21
Cd2 0.0000 0.0000 0.5000  4 Cd 2.95-3.03, 2 Cl 3.21, 2 In 3.21
Cl1 0.5000 0.0000 0.0000  4 In 2.95-3.03, 4 Cd 3.21
In1 0.0000 0.5000 0.0000  4 Cl 2.95-3.03, 4 Cd 3.21

Values from the calculation:
* magnetic moment: 0.0 μB/f.u.
* raw total energy: -25.83 eV/atom


[11]
## CdInCl2 (meta-GGA SCAN)

Data for a PBEsol-optimized structure of CdInCl2.

Unit cell a=4.1338 b=4.1338 c=6.4809 alpha=108.60 beta=108.60 gamma=90.00
With the nearest neighbours (Å) after each atom.
Positions (direct):
Cd1 0.2500 0.7500 0.5000  4 Cl 2.92
Cl1 0.7500 0.2500 0.5000  4 Cd 2.92
Cl2 0.0000 0.0000 0.0000  4 In 2.92
In1 0.5000 0.5000 0.0000  4 Cl 2.92

Values from the calculation:
* magnetic moment: 0.0 μB/f.u.
* raw total energy: -20.50 eV/atom


[12]
## LiCdIn2Cl (meta-GGA SCAN)

Data for a PBEsol-optimized structure of LiCdIn2Cl.

Unit cell a=5.1768 b=5.3965 c=5.3965 alpha=90.00 beta=90.00 gamma=90.00
With the nearest neighbours (Å) after each atom.
Positions (direct):
In1 0.0000 0.0000 0.5000  2 Cd 2.70
In2 0.0000 0.5000 0.0000  2 Cd 2.70
Li1 0.5000 0.0000 0.0000  2 Cd 2.59
Cd1 0.0000 0.0000 0.0000  2 Li 2.59, 4 In 2.70
Cl1 0.5000 0.5000 0.5000  8 In 3.74, 4 Li 3.82

Values from the calculation:
* magnetic moment: 0.0 μB/f.u.
* raw total energy: -21.62 eV/atom


[13]
## CdIr3Cl (meta-GGA SCAN)

Data for a PBEsol-optimized structure of CdIr3Cl.

Unit cell a=4.4018 b=4.4018 c=4.4018 alpha=90.00 beta=90.00 gamma=90.00
With the nearest neighbours (Å) after each atom.
Positions (direct):
Cl1 0.0000 0.0000 0.0000  6 Ir 2.20
Ir1 0.5000 0.0000 0.0000  2 Cl 2.20
Ir2 0.0000 0.0000 0.5000  2 Cl 2.20
Ir3 0.0000 0.5000 0.0000  2 Cl 2.20
Cd1 0.5000 0.5000 0.5000  12 Ir 3.11

Values from the calculation:
* magnetic moment: 0.0 μB/f.u.
* raw total energy: -48.81 eV/atom


[14]
## CdIrCl2 (meta-GGA SCAN)

Data for a PBEsol-optimized structure of CdIrCl2.

Unit cell a=3.1874 b=3.1874 c=9.2472 alpha=90.00 beta=90.00 gamma=119.18
With the nearest neighbours (Å) after each atom.
Positions (direct):
Ir1 0.5000 0.5000 0.5000  4 Cl 2.33
Cd1 0.5000 0.5000 0.0000  6 Cd 3.19-3.23, 4 Cl 3.35
Cl1 0.0000 0.0000 0.6824  2 Ir 2.33
Cl2 0.0000 0.0000 0.3176  2 Ir 2.33

Values from the calculation:
* magnetic moment: 0.0 μB/f.u.
* raw total energy: -29.26 eV/atom


[15]
## CdIr2Cl (meta-GGA SCAN)

Data for a PBEsol-optimized structure of CdIr2Cl.

Unit cell a=4.4750 b=4.4750 c=4.4750 alpha=60.00 beta=60.00 gamma=60.00
With the nearest neighbours (Å) after each atom.
Positions (direct):
Cl1 0.5000 0.5000 0.5000  8 Ir 2.74
Ir1 0.2500 0.2500 0.2500  4 Cd 2.74, 4 Cl 2.74
Ir2 0.7500 0.7500 0.7500  4 Cd 2.74, 4 Cl 2.74
Cd1 0.0000 0.0000 0.0000  8 Ir 2.74

Values from the calculation:
* magnetic moment: 0.0 μB/f.u.
* raw total energy: -43.92 eV/atom


[16]
## KCdCl (meta-GGA SCAN)

Data for a PBEsol-optimized structure of KCdCl.

Unit cell a=5.3476 b=5.3476 c=5.3476 alpha=60.00 beta=60.00 gamma=60.00
With the nearest neighbours (Å) after each atom.
Positions (direct):
Cl1 0.5000 0.5000 0.5000  4 K 3.27
K1 0.2500 0.2500 0.2500  4 Cd 3.27, 4 Cl 3.27
Cd1 0.0000 0.0000 0.0000  4 K 3.27

Values from the calculation:
* magnetic moment: 0.0 μB/f.u.
* raw total energy: -16.51 eV/atom


[17]
## KCd2Cl (meta-GGA SCAN)

Data for a PBEsol-optimized structure of KCd2Cl.

Unit cell a=5.3856 b=5.3949 c=5.3856 alpha=60.06 beta=90.00 gamma=119.94
With the nearest neighbours (Å) after each atom.
Positions (direct):
Cl1 0.5000 0.0000 0.5000  4 Cd 3.30, 4 K 3.30
K1 0.7500 0.5000 0.7500  4 Cd 3.30, 4 Cl 3.30
Cd1 0.0000 0.0000 0.0000  4 Cd 3.30, 4 K 3.30
Cd2 0.2500 0.5000 0.2500  4 Cd 3.30, 4 Cl 3.30

Values from the calculation:
* magnetic moment: 0.0 μB/f.u.
* raw total energy: -19.89 eV/atom


[18]
## K2CdCl (meta-GGA SCAN)

Data for a PBEsol-optimized structure of K2CdCl.

Unit cell a=5.7924 b=5.7924 c=5.7924 alpha=60.00 beta=60.00 gamma=60.00
With the nearest neighbours (Å) after each atom.
Positions (direct):
Cd1 0.5000 0.5000 0.5000  4 K 3.55, 4 Cl 3.55
K1 0.7500 0.7500 0.7500  4 K 3.55, 4 Cd 3.55
K2 0.0000 0.0000 0.0000  4 Cl 3.55, 4 K 3.55
Cl1 0.2500 0.2500 0.2500  4 Cd 3.55, 4 K 3.55

Values from the calculation:
* magnetic moment: 0.8 μB/f.u.
* raw total energy: -14.32 eV/atom


[19]
## K4CdCl6 (meta-GGA SCAN)

Data for a PBEsol-optimized structure of K4CdCl6.

Unit cell a=8.5069 b=8.5069 c=8.5069 alpha=89.66 beta=89.66 gamma=89.66
With the nearest neighbours (Å) after each atom.
Positions (direct):
K1 0.1293 0.3707 0.7500  8 Cl 3.19-3.34
K2 0.8707 0.6293 0.2500  8 Cl 3.19-3.34
K3 0.2500 0.8707 0.6293  8 Cl 3.19-3.34
K4 0.7500 0.1293 0.3707  8 Cl 3.19-3.34
K5 0.6293 0.2500 0.8707  8 Cl 3.19-3.34
K6 0.2500 0.2500 0.2500  6 Cl 3.06
K7 0.7500 0.7500 0.7500  6 Cl 3.06
K8 0.3707 0.7500 0.1293  8 Cl 3.19-3.34
Cl1 0.5574 0.4303 0.2044  1 Cd 2.63
Cl2 0.5697 0.7956 0.4426  1 Cd 2.63
Cl3 0.9426 0.2956 0.0697  1 Cd 2.63
Cl4 0.9303 0.0574 0.7044  1 Cd 2.63
Cl5 0.2956 0.0697 0.9426  1 Cd 2.63
Cl6 0.0574 0.7044 0.9303  1 Cd 2.63
Cl7 0.4303 0.2044 0.5574  1 Cd 2.63
Cl8 0.2044 0.5574 0.4303  1 Cd 2.63
Cl9 0.4426 0.5697 0.7956  1 Cd 2.63
Cl10 0.7044 0.9303 0.0574  1 Cd 2.63
Cl11 0.0697 0.9426 0.2956  1 Cd 2.63
Cl12 0.7956 0.4426 0.5697  1 Cd 2.63
Cd1 0.5000 0.5000 0.5000  6 Cl 2.63
Cd2 0.0000 0.0000 0.0000  6 Cl 2.63

Values from the calculation:
* magnetic moment: 0.0 μB/f.u.
* raw total energy: -12.10 eV/atom


[20]
## KCd2Cl (meta-GGA SCAN)

Data for a PBEsol-optimized structure of KCd2Cl.

Unit cell a=3.9704 b=4.3702 c=7.2429 alpha=107.53 beta=105.90 gamma=90.08
With the nearest neighbours (Å) after each atom.
Positions (direct):
K1 0.0000 0.5000 0.0000  4 Cl 2.95
Cd1 0.0000 0.0000 0.5000  4 Cd 2.95
Cd2 0.5000 0.5000 0.5000  4 Cd 2.95
Cl1 0.5000 0.0000 0.0000  4 K 2.95

Values from the calculation:
* magnetic moment: 0.0 μB/f.u.
* raw total energy: -20.07 eV/atom


[21]
## KCdPCl2 (meta-GGA SCAN)

Data for a PBEsol-optimized structure of KCdPCl2.

Unit cell a=5.5335 b=5.5335 c=5.8266 alpha=90.00 beta=90.00 gamma=90.00
With the nearest neighbours (Å) after each atom.
Positions (direct):
K1 0.0000 0.0000 0.0000  4 Cl 2.77, 2 P 2.91
Cl1 0.5000 0.0000 0.0000  2 K 2.77
Cl2 0.0000 0.5000 0.0000  2 K 2.77
Cd1 0.5000 0.5000 0.5000  4 P 3.91, 8 Cl 4.02
P1 0.0000 0.0000 0.5000  2 K 2.91

Values from the calculation:
* magnetic moment: 2.0 μB/f.u.
* raw total energy: -12.90 eV/atom


[22]
## Li3CdCl (meta-GGA SCAN)

Data for a PBEsol-optimized structure of Li3CdCl.

Unit cell a=4.6296 b=4.6296 c=4.6296 alpha=90.00 beta=90.00 gamma=90.00
With the nearest neighbours (Å) after each atom.
Positions (direct):
Li1 0.5000 0.0000 0.0000  2 Cl 2.31
Li2 0.0000 0.5000 0.0000  2 Cl 2.31
Li3 0.0000 0.0000 0.5000  2 Cl 2.31
Cl1 0.0000 0.0000 0.0000  6 Li 2.31
Cd1 0.5000 0.5000 0.5000  12 Li 3.27

Values from the calculation:
* magnetic moment: 0.0 μB/f.u.
* raw total energy: -9.80 eV/atom


[23]
## Li2CdMoCl (meta-GGA SCAN)

Data for a PBEsol-optimized structure of Li2CdMoCl.

Unit cell a=5.3376 b=5.3376 c=5.4019 alpha=90.00 beta=90.00 gamma=90.00
With the nearest neighbours (Å) after each atom.
Positions (direct):
Li1 0.5000 0.0000 0.0000  2 Mo 2.67
Li2 0.0000 0.5000 0.0000  2 Mo 2.67
Mo1 0.0000 0.0000 0.0000  4 Li 2.67, 2 Cd 2.70
Cl1 0.5000 0.5000 0.5000  4 Cd 3.77, 8 Li 3.80
Cd1 0.0000 0.0000 0.5000  2 Mo 2.70

Values from the calculation:
* magnetic moment: 4.7 μB/f.u.
* raw total energy: -14.85 eV/atom


[24]
## LiCdNi2Cl (meta-GGA SCAN)

Data for a PBEsol-optimized structure of LiCdNi2Cl.

Unit cell a=4.1256 b=4.1256 c=4.6910 alpha=90.00 beta=90.00 gamma=90.00
With the nearest neighbours (Å) after each atom.
Positions (direct):
Ni1 0.0000 0.5000 0.0000  2 Li 2.06
Ni2 0.5000 0.0000 0.0000  2 Li 2.06
Cl1 0.5000 0.5000 0.5000  4 Cd 2.92, 8 Ni 3.12
Cd1 0.0000 0.0000 0.5000  2 Li 2.35
Li1 0.0000 0.0000 0.0000  4 Ni 2.06

Values from the calculation:
* magnetic moment: 0.9 μB/f.u.
* raw total energy: -13.79 eV/atom


[25]
## LiCdSCl2 (meta-GGA SCAN)

Data for a PBEsol-optimized structure of LiCdSCl2.

Unit cell a=4.3557 b=4.3557 c=5.1700 alpha=90.00 beta=90.00 gamma=90.00
With the nearest neighbours (Å) after each atom.
Positions (direct):
Cd1 0.5000 0.5000 0.5000  4 S 3.08, 8 Cl 3.38
Cl1 0.5000 0.0000 0.0000  2 Li 2.18
Cl2 0.0000 0.5000 0.0000  2 Li 2.18
Li1 0.0000 0.0000 0.0000  4 Cl 2.18
S1 0.0000 0.0000 0.5000  2 Li 2.58

Values from the calculation:
* magnetic moment: 1.0 μB/f.u.
* raw total energy: -12.21 eV/atom


[26]
## MgCdCl4 (meta-GGA SCAN)

Data for a PBEsol-optimized structure of MgCdCl4.

Unit cell a=5.8246 b=5.8246 c=5.8246 alpha=60.00 beta=60.00 gamma=60.00
With the nearest neighbours (Å) after each atom.
Positions (direct):
Cd1 0.0000 0.0000 0.0000  12 Cl 3.41, 4 Mg 3.57
Cl1 0.3750 0.3750 0.3750  6 Cl 2.91
Cl2 0.3750 0.3750 0.8751  6 Cl 2.91
Cl3 0.8751 0.3750 0.3750  6 Cl 2.91
Cl4 0.3750 0.8751 0.3750  6 Cl 2.91
Mg1 0.7500 0.7500 0.7500  12 Cl 3.42, 4 Cd 3.57

Values from the calculation:
* magnetic moment: 2.0 μB/f.u.
* raw total energy: -11.13 eV/atom


[27]
## MgCd2Cl (meta-GGA SCAN)

Data for a PBEsol-optimized structure of MgCd2Cl.

Unit cell a=5.0945 b=5.0945 c=5.0945 alpha=60.00 beta=60.00 gamma=60.00
With the nearest neighbours (Å) after each atom.
Positions (direct):
Cl1 0.5000 0.5000 0.5000  4 Cd 3.12, 4 Mg 3.12
Cd1 0.7500 0.7500 0.7500  4 Cd 3.12, 4 Cl 3.12
Cd2 0.0000 0.0000 0.0000  4 Cd 3.12, 4 Mg 3.12
Mg1 0.2500 0.2500 0.2500  4 Cl 3.12, 4 Cd 3.12

Values from the calculation:
* magnetic moment: 0.0 μB/f.u.
* raw total energy: -18.56 eV/atom


[28]
## MgCd2Cl (meta-GGA SCAN)

Data for a PBEsol-optimized structure of MgCd2Cl.

Unit cell a=4.0011 b=4.0011 c=5.9557 alpha=90.00 beta=90.00 gamma=90.00
With the nearest neighbours (Å) after each atom.
Positions (direct):
Cd1 0.5000 0.0000 0.0000  4 Cd 2.83
Cd2 0.0000 0.5000 0.0000  4 Cd 2.83
Cl1 0.5000 0.5000 0.5000  4 Mg 2.83
Mg1 0.0000 0.0000 0.5000  4 Cl 2.83

Values from the calculation:
* magnetic moment: 0.0 μB/f.u.
* raw total energy: -18.71 eV/atom


[29]
## MgCd2Cl (meta-GGA SCAN)

Data for a PBEsol-optimized structure of MgCd2Cl.

Unit cell a=3.1691 b=5.6703 c=5.8970 alpha=114.30 beta=90.00 gamma=106.23
With the nearest neighbours (Å) after each atom.
Positions (direct):
Mg1 0.2378 0.4755 0.6540  2 Cl 2.44
Cd1 0.9684 0.9368 0.0392  2 Mg 3.01, 5 Cd 3.07-3.17
Cd2 0.7357 0.4713 0.2020  5 Cd 3.07-3.17, 2 Mg 3.09, 1 Cl 3.21
Cl1 0.5582 0.1164 0.6049  2 Mg 2.44

Values from the calculation:
* magnetic moment: 0.0 μB/f.u.
* raw total energy: -18.90 eV/atom